{
  "formula": "Tm3Cu2Pt5",
  "functional": "PBE",
  "state": "relaxed",
  "lattice_angstrom": [[-0.6903, 0.4833, 3.8629], [6.5655, -6.5545, 1.9932], [6.6476, 6.7627, 0.3418]],
  "species": ["Tm", "Pt", "Pt", "Cu", "Pt", "Tm", "Cu", "Tm", "Pt", "Pt", "Tm", "Tm", "Pt", "Cu", "Tm", "Pt", "Pt", "Cu", "Pt", "Pt"],
  "frac_coords": [[0.0000, 0.1743, 0.3257], [0.5000, 0.7106, 0.4263], [0.5000, 0.2106, 0.0737], [0.0000, 0.8803, 0.3803], [0.5000, 0.7894, 0.9263], [0.0000, 0.0000, 0.0000], [0.0000, 0.1197, 0.6197], [0.0000, 0.5000, 0.5000], [0.5000, 0.4263, 0.2894], [0.5000, 0.9263, 0.2106], [0.0000, 0.8257, 0.6743], [0.0000, 0.3257, 0.8257], [0.5000, 0.2894, 0.5737], [0.0000, 0.6197, 0.8803], [0.0000, 0.6743, 0.1743], [0.5000, 0.0000, 0.5000], [0.5000, 0.5000, 0.0000], [0.0000, 0.3803, 0.1197], [0.5000, 0.5737, 0.7106], [0.5000, 0.0737, 0.7894]],
  "density_kg_m3": 15013,
  "e_form_ev_per_atom": -0.95
}

---

{
  "formula": "Tm2CuPt",
  "functional": "PBE",
  "state": "relaxed",
  "lattice_angstrom": [[-2.8638, 1.8966, 0.1135], [-2.0504, -2.8978, -3.3126], [-1.7324, -2.8280, 3.5463]],
  "species": ["Tm", "Cu", "Pt", "Tm"],
  "frac_coords": [[0.0000, 0.5000, 0.0000], [0.5000, 0.5000, 0.5000], [0.5000, 0.0000, 0.0000], [0.0000, 0.0000, 0.5000]],
  "density_kg_m3": 12225,
  "e_form_ev_per_atom": -0.81
}

---

{
  "formula": "Tm2Cu5Pt4",
  "functional": "PBE",
  "state": "relaxed",
  "lattice_angstrom": [[-3.4333, 3.4047, 1.6197], [-3.3722, -1.2652, 3.5388], [3.6810, 4.2630, 6.8688]],
  "species": ["Pt", "Cu", "Pt", "Tm", "Pt", "Cu", "Cu", "Cu", "Pt", "Cu", "Tm"],
  "frac_coords": [[0.5380, 0.6704, 0.2535], [0.7500, 0.5000, 0.5000], [0.7915, 0.6704, 0.7465], [0.1354, 0.0000, 0.7292], [0.4620, 0.3296, 0.7465], [0.5000, 0.5000, 0.0000], [0.5000, 0.0000, 0.0000], [0.2500, 0.5000, 0.5000], [0.2085, 0.3296, 0.2535], [0.0000, 0.5000, 0.0000], [0.8646, 0.0000, 0.2708]],
  "density_kg_m3": 12609,
  "e_form_ev_per_atom": -0.52
}

---

{
  "formula": "Tm8Cu2Pt",
  "functional": "PBE",
  "state": "relaxed",
  "lattice_angstrom": [[-2.3040, 4.4107, 0.4860], [-4.7115, -2.8606, 3.6254], [7.1560, 0.3171, 5.3280]],
  "species": ["Tm", "Cu", "Tm", "Cu", "Tm", "Tm", "Tm", "Tm", "Tm", "Pt", "Tm"],
  "frac_coords": [[0.6675, 0.9780, 0.3351], [0.1859, 0.7269, 0.3719], [0.4092, 0.5553, 0.8184], [0.8141, 0.2731, 0.6281], [0.5908, 0.4447, 0.1816], [0.0330, 0.7851, 0.0661], [0.3325, 0.0220, 0.6649], [0.9670, 0.2149, 0.9339], [0.7970, 0.6699, 0.5940], [0.5000, 0.0000, 0.0000], [0.2030, 0.3301, 0.4060]],
  "density_kg_m3": 10212,
  "e_form_ev_per_atom": -0.34,
  "de_polymorph_ev_per_atom": 0.000
}

---

{
  "formula": "Tm3Cu2Pt6",
  "functional": "PBE",
  "state": "relaxed",
  "lattice_angstrom": [[7.6991, 0.0000, -2.7220], [-3.8495, 6.6676, -2.7220], [0.0000, 0.0000, 8.1661]],
  "species": ["Pt", "Pt", "Pt", "Pt", "Tm", "Pt", "Tm", "Pt", "Cu", "Pt", "Pt", "Tm", "Cu", "Cu", "Pt", "Tm", "Pt", "Cu", "Tm", "Tm", "Pt", "Pt"],
  "frac_coords": [[0.6677, 0.3323, 0.0000], [0.6677, 0.0000, 0.3323], [0.3323, 0.6677, 0.0000], [0.0000, 0.6677, 0.3323], [0.6967, 0.0000, 0.6967], [0.3353, 0.6677, 0.6677], [0.0000, 0.3033, 0.3033], [0.6677, 0.3353, 0.6677], [0.0000, 0.0000, 0.5000], [0.3323, 0.0000, 0.6677], [0.0000, 0.3323, 0.6677], [0.6967, 0.6967, 0.0000], [0.5000, 0.5000, 0.5000], [0.5000, 0.0000, 0.0000], [0.3323, 0.3323, 0.6647], [0.3033, 0.3033, 0.0000], [0.6647, 0.3323, 0.3323], [0.0000, 0.5000, 0.0000], [0.0000, 0.6967, 0.6967], [0.3033, 0.0000, 0.3033], [0.3323, 0.6647, 0.3323], [0.6677, 0.6677, 0.3353]],
  "density_kg_m3": 14295,
  "e_form_ev_per_atom": -0.85
}

---

{
  "formula": "Tm2Cu3Pt",
  "functional": "PBE",
  "state": "relaxed",
  "lattice_angstrom": [[-2.2069, 0.7784, 2.5701], [-1.4285, -4.0740, 0.0072], [5.1291, -1.7897, 4.9464]],
  "species": ["Tm", "Cu", "Tm", "Pt", "Cu", "Cu"],
  "frac_coords": [[0.0000, 0.5000, 0.0099], [0.5000, 0.0000, 0.8274], [0.0000, 0.0000, 0.4914], [0.5000, 0.5000, 0.3363], [0.5000, 0.5000, 0.6816], [0.5000, 0.0000, 0.1534]],
  "density_kg_m3": 10899,
  "e_form_ev_per_atom": -0.54,
  "de_polymorph_ev_per_atom": 0.002
}

---

{
  "formula": "Tm2Cu3Pt",
  "functional": "PBE",
  "state": "relaxed",
  "lattice_angstrom": [[5.4098, 0.7690, 0.0000], [0.4341, 5.4469, 0.0000], [-2.9219, -3.1079, 7.4976]],
  "species": ["Cu", "Cu", "Tm", "Cu", "Cu", "Cu", "Tm", "Cu", "Pt", "Pt", "Tm", "Tm"],
  "frac_coords": [[0.8379, 0.8379, 0.1612], [0.6767, 0.6767, 0.8388], [0.2523, 0.7477, 0.0000], [0.8368, 0.8368, 0.6736], [0.1632, 0.1632, 0.3264], [0.1621, 0.1621, 0.8388], [0.7500, 0.2500, 0.5000], [0.3233, 0.3233, 0.1612], [0.3338, 0.3338, 0.6676], [0.6662, 0.6662, 0.3324], [0.2500, 0.7500, 0.5000], [0.7477, 0.2523, 0.0000]],
  "density_kg_m3": 11002,
  "e_form_ev_per_atom": -0.54,
  "de_polymorph_ev_per_atom": 0.000
}

---

{
  "formula": "Tm2CuPt",
  "functional": "PBE",
  "state": "relaxed",
  "lattice_angstrom": [[-1.6433, -3.8726, -1.4924], [0.2674, -2.0640, 5.0615], [-6.5400, 3.1751, -1.0377]],
  "species": ["Tm", "Tm", "Tm", "Cu", "Pt", "Cu", "Tm", "Pt"],
  "frac_coords": [[0.7500, 0.2200, 0.9332], [0.7500, 0.2238, 0.4275], [0.2500, 0.7800, 0.0668], [0.2500, 0.3382, 0.7075], [0.7500, 0.6579, 0.7878], [0.7500, 0.6618, 0.2925], [0.2500, 0.7762, 0.5725], [0.2500, 0.3421, 0.2122]],
  "density_kg_m3": 11730,
  "e_form_ev_per_atom": -0.86
}

---

{
  "formula": "Tm2CuPt9",
  "functional": "PBE",
  "state": "relaxed",
  "lattice_angstrom": [[-3.0059, -2.5984, -0.8167], [2.7189, -2.7897, -1.1310], [0.4810, -4.0933, 11.2529]],
  "species": ["Pt", "Pt", "Pt", "Pt", "Pt", "Pt", "Pt", "Tm", "Pt", "Tm", "Cu", "Pt"],
  "frac_coords": [[0.5000, 0.0000, 0.8456], [0.0000, 0.5000, 0.1544], [0.0000, 0.5000, 0.5000], [0.5000, 0.5000, 0.0000], [0.5000, 0.0000, 0.5000], [0.5000, 0.5000, 0.6723], [0.5000, 0.5000, 0.3277], [0.0000, 0.0000, 0.6731], [0.0000, 0.5000, 0.8456], [0.0000, 0.0000, 0.3269], [0.0000, 0.0000, 0.0000], [0.5000, 0.0000, 0.1544]],
  "density_kg_m3": 18166,
  "e_form_ev_per_atom": -0.74
}

---

{
  "formula": "TmCu4Pt",
  "functional": "PBE",
  "state": "relaxed",
  "lattice_angstrom": [[-0.6761, -2.5230, 4.2211], [3.7879, -2.4669, 2.0509], [2.0322, 1.6369, 4.2226]],
  "species": ["Pt", "Tm", "Cu", "Cu", "Cu", "Cu"],
  "frac_coords": [[0.0000, 0.0000, 0.0000], [0.2500, 0.2500, 0.2500], [0.1233, 0.6256, 0.6256], [0.6256, 0.6256, 0.6256], [0.6256, 0.1233, 0.6256], [0.6256, 0.6256, 0.1233]],
  "density_kg_m3": 11869,
  "e_form_ev_per_atom": -0.42
}

---

{
  "formula": "TmCuPt2",
  "functional": "PBE",
  "state": "relaxed",
  "lattice_angstrom": [[-2.9538, 3.1955, 0.5804], [-2.2362, 0.2641, 3.7687], [1.3537, 3.7037, 3.1007]],
  "species": ["Pt", "Pt", "Cu", "Tm"],
  "frac_coords": [[0.2180, 0.2180, 0.3459], [0.7820, 0.7820, 0.6541], [0.5000, 0.5000, 0.5000], [0.0000, 0.0000, 0.0000]],
  "density_kg_m3": 14310,
  "e_form_ev_per_atom": -0.76
}

---

{
  "formula": "Tm8Cu2Pt",
  "functional": "PBE",
  "state": "relaxed",
  "lattice_angstrom": [[-0.3498, -0.2209, -5.7371], [-3.8475, -6.3523, 1.9206], [-3.6571, 6.5939, 1.4106]],
  "species": ["Pt", "Tm", "Cu", "Tm", "Tm", "Tm", "Cu", "Tm", "Tm", "Tm", "Tm"],
  "frac_coords": [[0.1507, 0.0037, 0.0037], [0.5894, 0.0905, 0.3439], [0.4930, 0.7021, 0.3101], [0.9858, 0.7957, 0.2099], [0.3680, 0.9124, 0.6592], [0.9858, 0.2099, 0.7957], [0.4930, 0.3101, 0.7021], [0.7987, 0.6373, 0.6373], [0.1778, 0.3690, 0.3690], [0.3680, 0.6592, 0.9124], [0.5894, 0.3439, 0.0905]],
  "density_kg_m3": 9692,
  "e_form_ev_per_atom": -0.22,
  "de_polymorph_ev_per_atom": 0.118
}

---

{
  "formula": "Tm3Cu2Pt",
  "functional": "PBE",
  "state": "relaxed",
  "lattice_angstrom": [[4.8442, 0.0000, 0.0000], [-2.4221, 4.1952, 0.0000], [0.0000, 0.0000, 11.8991]],
  "species": ["Tm", "Cu", "Tm", "Cu", "Pt", "Cu", "Tm", "Pt", "Tm", "Tm", "Tm", "Cu"],
  "frac_coords": [[0.6667, 0.3333, 0.5845], [0.3333, 0.6667, 0.1593], [0.3333, 0.6667, 0.9153], [0.0000, 0.0000, 0.0000], [0.6667, 0.3333, 0.3356], [0.6667, 0.3333, 0.8407], [0.0000, 0.0000, 0.2502], [0.3333, 0.6667, 0.6644], [0.3333, 0.6667, 0.4155], [0.6667, 0.3333, 0.0847], [0.0000, 0.0000, 0.7498], [0.0000, 0.0000, 0.5000]],
  "density_kg_m3": 11385,
  "e_form_ev_per_atom": -0.65,
  "de_polymorph_ev_per_atom": 0.000
}

---

{
  "formula": "TmCuPt",
  "functional": "PBE",
  "state": "relaxed",
  "lattice_angstrom": [[-2.1339, 0.1192, 3.6758], [-2.7924, -1.9298, -4.0177], [1.7435, -4.9654, 1.1732]],
  "species": ["Pt", "Cu", "Pt", "Tm", "Tm", "Cu"],
  "frac_coords": [[0.9030, 0.8061, 0.7500], [0.5000, 0.0000, 0.5000], [0.0970, 0.1939, 0.2500], [0.2051, 0.4103, 0.7500], [0.7949, 0.5897, 0.2500], [0.5000, 0.0000, 0.0000]],
  "density_kg_m3": 12875,
  "e_form_ev_per_atom": -0.87,
  "de_polymorph_ev_per_atom": 0.001
}

---

{
  "formula": "TmCuPt",
  "functional": "PBE",
  "state": "relaxed",
  "lattice_angstrom": [[-1.4216, 2.1369, 3.0986], [4.9611, -2.5535, 4.0372], [4.7736, 6.0933, -2.0121]],
  "species": ["Tm", "Tm", "Cu", "Pt", "Cu", "Tm", "Tm", "Pt", "Pt", "Cu", "Pt", "Cu"],
  "frac_coords": [[0.2500, 0.9590, 0.8095], [0.7500, 0.0410, 0.1905], [0.7500, 0.1316, 0.5671], [0.2500, 0.2502, 0.3830], [0.7500, 0.6316, 0.9329], [0.2500, 0.4590, 0.6905], [0.7500, 0.5410, 0.3095], [0.2500, 0.7502, 0.1170], [0.7500, 0.2498, 0.8830], [0.2500, 0.3684, 0.0671], [0.7500, 0.7498, 0.6170], [0.2500, 0.8684, 0.4329]],
  "density_kg_m3": 12815,
  "e_form_ev_per_atom": -0.87,
  "de_polymorph_ev_per_atom": 0.000
}

---

{
  "formula": "TmCu3Pt",
  "functional": "PBE",
  "state": "relaxed",
  "lattice_angstrom": [[-1.8666, -0.8782, 4.3073], [-1.4581, -4.2909, -1.5067], [9.3248, -0.9334, 1.2030]],
  "species": ["Cu", "Cu", "Cu", "Pt", "Cu", "Tm", "Pt", "Tm", "Cu", "Cu"],
  "frac_coords": [[0.6864, 0.6864, 0.3728], [0.1288, 0.3813, 0.2575], [0.6187, 0.8712, 0.7425], [0.0000, 0.0000, 0.0000], [0.1238, 0.8712, 0.7425], [0.5783, 0.0783, 0.1566], [0.2500, 0.7500, 0.5000], [0.9217, 0.4217, 0.8434], [0.3136, 0.3136, 0.6272], [0.1288, 0.8762, 0.2575]],
  "density_kg_m3": 9152,
  "e_form_ev_per_atom": -0.04
}

---

{
  "formula": "Tm2CuPt4",
  "functional": "PBE",
  "state": "relaxed",
  "lattice_angstrom": [[-0.4284, 4.8022, -6.9339], [2.5836, -4.0141, -2.9396], [-6.3251, -0.2935, 0.1876]],
  "species": ["Tm", "Pt", "Pt", "Cu", "Pt", "Pt", "Tm", "Pt", "Pt", "Tm", "Pt", "Tm", "Cu", "Pt"],
  "frac_coords": [[0.0000, 0.6418, 0.2836], [0.2500, 0.5000, 0.5000], [0.2500, 0.0000, 0.5000], [0.5000, 0.5000, 0.0000], [0.7500, 0.7500, 0.0000], [0.7500, 0.5000, 0.5000], [0.0000, 0.3582, 0.7164], [0.7500, 0.2500, 0.0000], [0.7500, 0.0000, 0.5000], [0.5000, 0.8582, 0.7164], [0.2500, 0.7500, 0.0000], [0.5000, 0.1418, 0.2836], [0.0000, 0.0000, 0.0000], [0.2500, 0.2500, 0.0000]],
  "density_kg_m3": 14592,
  "e_form_ev_per_atom": -0.77
}

---

{
  "formula": "Tm2CuPt2",
  "functional": "PBE",
  "state": "relaxed",
  "lattice_angstrom": [[5.6780, 0.0000, 0.0000], [0.0000, 6.4860, 0.0000], [-2.8390, -3.2430, 5.7579]],
  "species": ["Tm", "Pt", "Pt", "Tm", "Pt", "Pt", "Tm", "Cu", "Cu", "Tm"],
  "frac_coords": [[0.8590, 0.6735, 0.7179], [0.6194, 0.3652, 0.2389], [0.1194, 0.8737, 0.2389], [0.1410, 0.3265, 0.2821], [0.8806, 0.1263, 0.7611], [0.3806, 0.6348, 0.7611], [0.6410, 0.9556, 0.2821], [0.7500, 0.5000, 0.0000], [0.2500, 0.5000, 0.0000], [0.3590, 0.0444, 0.7179]],
  "density_kg_m3": 12397,
  "e_form_ev_per_atom": -0.93
}

---

{
  "formula": "TmZnCuPt",
  "functional": "PBE",
  "state": "relaxed",
  "lattice_angstrom": [[4.6024, 0.0000, 0.0000], [2.3012, 3.9858, 0.0000], [2.3012, 1.3286, 3.7579]],
  "species": ["Zn", "Cu", "Tm", "Pt"],
  "frac_coords": [[0.0000, 0.0000, 0.0000], [0.7500, 0.7500, 0.7500], [0.5000, 0.5000, 0.5000], [0.2500, 0.2500, 0.2500]],
  "density_kg_m3": 11875,
  "e_form_ev_per_atom": -0.59
}

---

{
  "formula": "UCu3Pt12",
  "functional": "PBE",
  "state": "relaxed",
  "lattice_angstrom": [[-0.4805, 3.8848, 0.8267], [-3.5247, -0.0333, -1.8924], [-7.1511, -3.7328, 13.3848]],
  "species": ["Pt", "Pt", "Cu", "Pt", "Pt", "Pt", "Pt", "Pt", "Pt", "Pt", "Pt", "Pt", "Pt", "Cu", "U", "Cu"],
  "frac_coords": [[0.5000, 0.5000, 0.2582], [0.5000, 0.0000, 0.3795], [0.0000, 0.0000, 0.2608], [0.0000, 0.5000, 0.3795], [0.5000, 0.5000, 0.0000], [0.0000, 0.5000, 0.1332], [0.5000, 0.5000, 0.5000], [0.5000, 0.0000, 0.8668], [0.5000, 0.0000, 0.1332], [0.5000, 0.0000, 0.6205], [0.0000, 0.5000, 0.8668], [0.5000, 0.5000, 0.7418], [0.0000, 0.5000, 0.6205], [0.0000, 0.0000, 0.5000], [0.0000, 0.0000, 0.0000], [0.0000, 0.0000, 0.7392]],
  "density_kg_m3": 18387,
  "e_form_ev_per_atom": -0.28
}

---

{
  "formula": "UCuPt4",
  "functional": "PBE",
  "state": "relaxed",
  "lattice_angstrom": [[-0.3799, 0.6681, 5.2510], [-0.4822, -4.2185, 3.1836], [4.0258, -1.4184, 3.1535]],
  "species": ["Pt", "Cu", "Pt", "U", "Pt", "Pt"],
  "frac_coords": [[0.6257, 0.1230, 0.6257], [0.0000, 0.0000, 0.0000], [0.6257, 0.6257, 0.1230], [0.2500, 0.2500, 0.2500], [0.1230, 0.6257, 0.6257], [0.6257, 0.6257, 0.6257]],
  "density_kg_m3": 16999,
  "e_form_ev_per_atom": -0.49,
  "de_polymorph_ev_per_atom": 0.000
}

---

{
  "formula": "UCuPt4",
  "functional": "PBE",
  "state": "relaxed",
  "lattice_angstrom": [[4.2899, -1.4626, 0.0000], [-2.0656, 7.9840, 0.0000], [0.0000, 0.0000, 6.9357]],
  "species": ["Pt", "Pt", "U", "Pt", "Cu", "Pt", "Pt", "Pt", "Cu", "Pt", "Pt", "U"],
  "frac_coords": [[0.7869, 0.0368, 0.3334], [0.2131, 0.4632, 0.3334], [0.0000, 0.7500, 0.3190], [0.2947, 0.5446, 0.9151], [0.5000, 0.7500, 0.5957], [0.2131, 0.9632, 0.6666], [0.7869, 0.5368, 0.6666], [0.7054, 0.4554, 0.0849], [0.5000, 0.2500, 0.4043], [0.2947, 0.0446, 0.0849], [0.7054, 0.9554, 0.9151], [0.0000, 0.2500, 0.6810]],
  "density_kg_m3": 16589,
  "e_form_ev_per_atom": -0.37,
  "de_polymorph_ev_per_atom": 0.125
}